(1)
# PmMnTe2

A relaxed PmMnTe2 crystal (PBE, the Alexandria database).

POSCAR file:
```
PmMnTe2
1.0
3.945 0.000 0.000
1.973 3.417 0.000
1.973 1.139 9.359
Te Mn Pm
2 1 1
direct
0.111 0.111 0.668 Te
0.889 0.889 0.332 Te
0.500 0.500 0.500 Mn
0.000 0.000 0.000 Pm
```

Computed properties:
Space group   R-3m (166)
Energy relative to the elements, uncorrected   -0.88 eV per formula unit

---

(2)
# Pm3MnTl4Te8

A relaxed Pm3MnTl4Te8 crystal (PBE, the Alexandria database).

POSCAR file:
```
Pm3MnTl4Te8
1.0
-6.398 3.586 5.107
-5.862 -7.184 -2.299
7.934 -2.055 3.563
Tl Te Pm Mn
4 8 3 1
direct
0.500 0.000 0.000 Tl
0.500 0.000 0.500 Tl
0.000 0.000 0.000 Tl
0.000 0.000 0.500 Tl
0.741 0.724 0.483 Te
0.758 0.711 0.984 Te
0.773 0.289 0.547 Te
0.227 0.711 0.984 Te
0.227 0.711 0.453 Te
0.773 0.289 0.016 Te
0.259 0.276 0.517 Te
0.242 0.289 0.016 Te
0.000 0.500 0.500 Pm
0.500 0.500 0.000 Pm
0.500 0.500 0.500 Pm
0.000 0.500 0.000 Mn
```

Computed properties:
Space group   R-3m (166)
Energy relative to the elements, uncorrected   -13.10 eV per formula unit

---

(3)
# Pm2ThMn

A relaxed Pm2ThMn crystal (PBE, the Alexandria database).

POSCAR file:
```
Pm2ThMn
1.0
-3.400 -0.466 -1.092
1.167 -1.927 -2.810
-0.541 -7.360 4.823
Mn Pm Th
1 2 1
direct
0.500 0.500 0.000 Mn
0.000 0.000 0.788 Pm
0.000 0.000 0.212 Pm
0.500 0.500 0.500 Th
```

Computed properties:
Final energy   -6.32 eV/atom
Space group   P4/mmm (123)

---

(4)
# PmThMn4

A relaxed PmThMn4 crystal (PBE, the Alexandria database).

POSCAR file:
```
PmThMn4
1.0
5.263 0.000 0.000
2.631 4.557 0.000
2.631 1.519 4.297
Mn Th Pm
4 1 1
direct
0.625 0.625 0.125 Mn
0.125 0.625 0.625 Mn
0.625 0.625 0.625 Mn
0.625 0.125 0.625 Mn
0.000 0.000 0.000 Th
0.250 0.250 0.250 Pm
```

Computed properties:
Final energy   -7.99 eV/atom
Space group   F-43m (216)

---

(5)
# PmThMnZn

A relaxed PmThMnZn crystal (PBE, the Alexandria database).

POSCAR file:
```
PmThMnZn
1.0
5.135 0.000 0.000
2.567 4.447 0.000
2.567 1.482 4.193
Mn Zn Th Pm
1 1 1 1
direct
0.500 0.500 0.500 Mn
0.000 0.000 0.000 Zn
0.750 0.750 0.750 Th
0.250 0.250 0.250 Pm
```

Computed properties:
Final energy   -5.61 eV/atom
Space group   F-43m (216)

---

(6)
# Pm2TmMn

A relaxed Pm2TmMn crystal (PBE, the Alexandria database).

POSCAR file:
```
Pm2TmMn
1.0
-3.460 -0.472 0.868
0.940 -0.599 3.422
-0.738 8.539 1.698
Pm Mn Tm
2 1 1
direct
0.000 0.000 0.211 Pm
0.000 0.000 0.789 Pm
0.500 0.500 0.000 Mn
0.500 0.500 0.500 Tm
```

Computed properties:
Space group   P4/mmm (123)
Relative energy among the computed polymorphs   0.000 eV/atom